First-principles (PBE-GGA) data for Cr2SbMo after structural relaxation, as listed in the Alexandria database.

Its mass density is 7.786 g/cm³. The final energy comes out at -7.65 eV/atom. The value obtained for the formation energy without anion corrections is 898 meV per atom.

The space group is I-42d (No. 122) and the conventional cell measures 3.974, 3.974 and 17.380 Å, with angles of 90.00, 90.00 and 90.00 degrees. The asymmetric unit holds Cr at (0.182, 0.250, 0.125), Sb at (0.000, 0.000, 0.500) and Mo at (0.000, 0.000, 0.000).